# 1
KGa3Pt5 after structural relaxation, computed with PBE. Values from VASP.

Values from the calculation:
- DOS at the Fermi energy (states/eV/atom) = 0.346
- ΔE_f (eV/atom) = -0.512

```
&SYSTEM
  ibrav = 0, nat = 18, ntyp = 3
/
ATOMIC_SPECIES
Pt 195.08 Pt.upf
Ga 69.72 Ga.upf
K 39.10 K.upf
CELL_PARAMETERS angstrom
-2.728 -2.802 -1.235
4.356 1.078 -5.261
7.581 -9.307 4.369
ATOMIC_POSITIONS crystal
Pt 0.000 0.000 0.500
Pt 0.198 0.395 0.937
Pt 0.556 0.113 0.640
Pt 0.802 0.605 0.437
Pt 0.802 0.605 0.063
Pt 0.444 0.887 0.140
Pt 0.198 0.395 0.563
Pt 0.556 0.113 0.860
Pt 0.000 0.000 0.000
Pt 0.444 0.887 0.360
Ga 0.382 0.764 0.951
Ga 0.618 0.236 0.451
Ga 0.382 0.764 0.549
Ga 0.618 0.236 0.049
Ga 0.098 0.197 0.750
Ga 0.902 0.803 0.250
K 0.824 0.648 0.750
K 0.176 0.352 0.250
```

***

# 2
KGa4Pt after structural relaxation, computed with PBE. Values from VASP.

Values from the calculation:
- DOS at the Fermi energy (states/eV/atom) = 0.420
- ΔE_f (eV/atom) = -0.246

```
&SYSTEM
  ibrav = 0, nat = 12, ntyp = 3
/
ATOMIC_SPECIES
Ga 69.72 Ga.upf
Pt 195.08 Pt.upf
K 39.10 K.upf
CELL_PARAMETERS angstrom
-6.432 1.470 0.678
-1.916 -4.617 -4.329
2.177 -3.617 6.292
ATOMIC_POSITIONS crystal
Ga 0.722 0.435 0.179
Ga 0.856 0.857 0.478
Ga 0.435 0.717 0.181
Ga 0.663 0.339 0.503
Ga 0.565 0.283 0.819
Ga 0.337 0.661 0.497
Ga 0.278 0.565 0.821
Ga 0.144 0.143 0.522
Pt 0.000 0.500 0.500
Pt 0.500 0.000 0.500
K 0.201 0.197 0.068
K 0.799 0.803 0.932
```

***

# 3
K4Ga5Pt3 after structural relaxation, computed with PBE. Values from VASP.

Values from the calculation:
- DOS at the Fermi energy (states/eV/atom) = 0.389
- ΔE_f (eV/atom) = -0.322

```
&SYSTEM
  ibrav = 0, nat = 12, ntyp = 3
/
ATOMIC_SPECIES
K 39.10 K.upf
Ga 69.72 Ga.upf
Pt 195.08 Pt.upf
CELL_PARAMETERS angstrom
4.908 0.000 0.000
-2.454 6.844 -5.970
0.000 -2.004 11.097
ATOMIC_POSITIONS crystal
K 0.030 0.060 0.836
K 0.303 0.606 0.438
K 0.697 0.394 0.562
K 0.970 0.940 0.164
Ga 0.390 0.780 0.877
Ga 0.610 0.220 0.123
Ga 0.316 0.633 0.144
Ga 0.684 0.367 0.856
Ga 0.000 0.000 0.500
Pt 0.500 0.000 0.500
Pt 0.768 0.537 0.168
Pt 0.232 0.463 0.832
```

***

# 4
K3Ga8Pt3 after structural relaxation, computed with PBE. Values from VASP.

Values from the calculation:
- DOS at the Fermi energy (states/eV/atom) = 0.361
- ΔE_f (eV/atom) = -0.308

```
&SYSTEM
  ibrav = 0, nat = 14, ntyp = 3
/
ATOMIC_SPECIES
Ga 69.72 Ga.upf
Pt 195.08 Pt.upf
K 39.10 K.upf
CELL_PARAMETERS angstrom
-3.982 0.452 2.343
2.023 -1.127 8.255
0.878 7.101 4.719
ATOMIC_POSITIONS crystal
Ga 0.506 0.666 0.321
Ga 0.346 0.027 0.281
Ga 0.654 0.973 0.719
Ga 0.152 0.555 0.141
Ga 0.131 0.163 0.574
Ga 0.494 0.334 0.679
Ga 0.848 0.445 0.859
Ga 0.869 0.837 0.426
Pt 0.343 0.316 0.998
Pt 0.657 0.684 0.002
Pt 0.000 0.500 0.500
K 0.000 0.000 0.000
K 0.288 0.725 0.698
K 0.712 0.275 0.302
```

***

# 5
KGa2Pt after structural relaxation, computed with PBE. Values from VASP.

Values from the calculation:
- DOS at the Fermi energy (states/eV/atom) = 0.533
- ΔE_f (eV/atom) = -0.446

```
&SYSTEM
  ibrav = 0, nat = 4, ntyp = 3
/
ATOMIC_SPECIES
Pt 195.08 Pt.upf
K 39.10 K.upf
Ga 69.72 Ga.upf
CELL_PARAMETERS angstrom
4.343 0.000 0.000
2.171 3.761 0.000
2.171 1.254 6.148
ATOMIC_POSITIONS crystal
Pt 0.500 0.500 0.500
K 0.000 0.000 0.000
Ga 0.803 0.803 0.592
Ga 0.197 0.197 0.408
```

***

# 6
KGa6Pt after structural relaxation, computed with PBE. Values from VASP.

Values from the calculation:
- DOS at the Fermi energy (states/eV/atom) = 0.431
- ΔE_f (eV/atom) = -0.322

```
&SYSTEM
  ibrav = 0, nat = 8, ntyp = 3
/
ATOMIC_SPECIES
K 39.10 K.upf
Ga 69.72 Ga.upf
Pt 195.08 Pt.upf
CELL_PARAMETERS angstrom
-0.187 -2.024 3.957
4.411 0.398 0.412
-1.014 7.380 3.728
ATOMIC_POSITIONS crystal
K 0.000 0.000 0.000
Ga 0.500 0.500 0.154
Ga 0.500 0.000 0.668
Ga 0.500 0.500 0.846
Ga 0.000 0.500 0.332
Ga 0.000 0.500 0.668
Ga 0.500 0.000 0.332
Pt 0.000 0.000 0.500
```

***

# 7
K2GaPt2 after structural relaxation, computed with PBE. Values from VASP.

Values from the calculation:
- DOS at the Fermi energy (states/eV/atom) = 0.383
- offset from the most stable computed form (meV/atom) = 0
- ΔE_f (eV/atom) = -0.345

```
&SYSTEM
  ibrav = 0, nat = 10, ntyp = 3
/
ATOMIC_SPECIES
K 39.10 K.upf
Pt 195.08 Pt.upf
Ga 69.72 Ga.upf
CELL_PARAMETERS angstrom
5.955 -0.322 0.749
2.326 5.492 0.749
-0.101 -0.063 7.579
ATOMIC_POSITIONS crystal
K 0.767 0.518 0.375
K 0.482 0.233 0.125
K 0.233 0.482 0.625
K 0.518 0.767 0.875
Pt 0.993 0.281 0.992
Pt 0.719 0.007 0.508
Pt 0.007 0.719 0.008
Pt 0.281 0.993 0.492
Ga 0.959 0.041 0.750
Ga 0.041 0.959 0.250
```

***

# 8
K2Ga6Pt after structural relaxation, computed with PBE. Values from VASP.

Values from the calculation:
- DOS at the Fermi energy (states/eV/atom) = 0.546
- ΔE_f (eV/atom) = -0.210

```
&SYSTEM
  ibrav = 0, nat = 9, ntyp = 3
/
ATOMIC_SPECIES
K 39.10 K.upf
Ga 69.72 Ga.upf
Pt 195.08 Pt.upf
CELL_PARAMETERS angstrom
5.773 0.073 0.042
0.127 6.114 -0.355
0.127 2.738 5.478
ATOMIC_POSITIONS crystal
K 0.167 0.368 0.368
K 0.833 0.632 0.632
Ga 0.659 0.110 0.695
Ga 0.341 0.890 0.305
Ga 0.341 0.305 0.890
Ga 0.659 0.695 0.110
Ga 0.703 0.200 0.200
Ga 0.297 0.800 0.800
Pt 0.000 0.000 0.000
```